Ti12CuSn6 | PBE-GGA | relaxed

a = 7.0673 Å, b = 7.0673 Å, c = 7.0673 Å
α = 91.03°, β = 91.03°, γ = 91.03°
With the nearest neighbours (Å) after each atom.
Positions (direct):
Ti  0.2035  0.4713  0.5503  4 Ti 2.75-2.99, 4 Sn 2.78-3.02
Ti  0.1439  0.3759  0.0666  4 Ti 2.75-2.87, 1 Cu 2.86, 4 Sn 2.90-3.05
Ti  0.4713  0.5503  0.2035  4 Ti 2.75-2.99, 4 Sn 2.78-3.02
Ti  0.6241  0.9334  0.8561  4 Ti 2.75-2.87, 1 Cu 2.86, 4 Sn 2.90-3.05
Ti  0.4497  0.7965  0.5287  4 Ti 2.75-2.99, 4 Sn 2.78-3.02
Ti  0.5503  0.2035  0.4713  4 Ti 2.75-2.99, 4 Sn 2.78-3.02
Ti  0.8561  0.6241  0.9334  4 Ti 2.75-2.87, 1 Cu 2.86, 4 Sn 2.90-3.05
Ti  0.7965  0.5287  0.4497  4 Ti 2.75-2.99, 4 Sn 2.78-3.02
Ti  0.5287  0.4497  0.7965  4 Ti 2.75-2.99, 4 Sn 2.78-3.02
Ti  0.3759  0.0666  0.1439  4 Ti 2.75-2.87, 1 Cu 2.86, 4 Sn 2.90-3.05
Ti  0.9334  0.8561  0.6241  4 Ti 2.75-2.87, 1 Cu 2.86, 4 Sn 2.90-3.05
Ti  0.0666  0.1439  0.3759  4 Ti 2.75-2.87, 1 Cu 2.86, 4 Sn 2.90-3.05
Sn  0.7438  0.2822  0.1253  8 Ti 2.78-3.05, 1 Cu 2.86, 2 Sn 3.04
Sn  0.2562  0.7178  0.8747  8 Ti 2.78-3.05, 1 Cu 2.86, 2 Sn 3.04
Sn  0.8747  0.2562  0.7178  8 Ti 2.78-3.05, 1 Cu 2.86, 2 Sn 3.04
Sn  0.1253  0.7438  0.2822  8 Ti 2.78-3.05, 1 Cu 2.86, 2 Sn 3.04
Sn  0.2822  0.1253  0.7438  8 Ti 2.78-3.05, 1 Cu 2.86, 2 Sn 3.04
Sn  0.7178  0.8747  0.2562  8 Ti 2.78-3.05, 1 Cu 2.86, 2 Sn 3.04
Cu  0.0000  0.0000  0.0000  6 Ti 2.86, 6 Sn 2.86

Properties
DOS(E_F): 21.45 states/eV per cell
Mass density: 6.35 g/cm³
ΔH_f (0 K): -0.155 eV per atom
Energy: -125.79 eV per formula unit
Symmetry: R-3, No. 148


TiTlCu2Sn | PBE-GGA | relaxed

a = 4.7917 Å, b = 5.3651 Å, c = 4.7917 Å
α = 90.00°, β = 90.00°, γ = 90.00°
With the nearest neighbours (Å) after each atom.
Positions (direct):
Cu  0.0000  0.0000  0.5000  2 Ti 2.40
Cu  0.5000  0.0000  0.0000  2 Ti 2.40
Sn  0.5000  0.5000  0.5000  4 Tl 3.39, 8 Cu 3.60
Tl  0.0000  0.5000  0.0000  2 Ti 2.68
Ti  0.0000  0.0000  0.0000  4 Cu 2.40, 2 Tl 2.68

Properties
DOS(E_F): 4.62 states/eV per cell
Mass density: 6.71 g/cm³
ΔH_f (0 K): 0.887 eV per atom
Energy: -18.02 eV per formula unit
Symmetry: P4/mmm, No. 123


TiZnCuSn | PBE-GGA | relaxed

a = 3.9397 Å, b = 4.1022 Å, c = 4.0460 Å
α = 90.00°, β = 90.00°, γ = 90.00°
With the nearest neighbours (Å) after each atom.
Positions (direct):
Zn  0.0000  0.5000  0.5000  4 Cu 2.82, 4 Ti 2.84, 4 Sn 2.88
Cu  0.5000  0.5000  0.0000  4 Zn 2.82, 4 Sn 2.84, 4 Ti 2.88
Ti  0.5000  0.0000  0.5000  4 Sn 2.82, 4 Zn 2.84, 4 Cu 2.88
Sn  0.0000  0.0000  0.0000  4 Ti 2.82, 4 Cu 2.84, 4 Zn 2.88

Properties
DOS(E_F): 1.72 states/eV per cell
Mass density: 7.50 g/cm³
ΔH_f (0 K): -0.191 eV per atom
Energy: -18.03 eV per formula unit
Symmetry: Pmmm, No. 47


ZrTi2Cu2Sn2 | PBE-GGA | relaxed

a = 4.4023 Å, b = 4.4023 Å, c = 8.1427 Å
α = 74.32°, β = 74.32°, γ = 60.00°
With the nearest neighbours (Å) after each atom.
Positions (direct):
Cu  0.5553  0.5553  0.3340  1 Cu 2.57, 3 Ti 2.62, 3 Sn 2.72
Cu  0.4447  0.4447  0.6660  1 Cu 2.57, 3 Ti 2.62, 3 Sn 2.72
Ti  0.1384  0.1384  0.5848  3 Cu 2.62, 3 Ti 2.86, 1 Sn 2.90
Ti  0.8616  0.8616  0.4152  3 Cu 2.62, 3 Ti 2.86, 1 Sn 2.90
Sn  0.7368  0.7368  0.7896  3 Cu 2.72, 4 Ti 2.90-2.99, 3 Zr 3.02
Sn  0.2632  0.2632  0.2104  3 Cu 2.72, 4 Ti 2.90-2.99, 3 Zr 3.02
Zr  0.0000  0.0000  0.0000  6 Sn 3.02, 2 Ti 3.21

Properties
DOS(E_F): 3.70 states/eV per cell
Mass density: 7.05 g/cm³
ΔH_f (0 K): -0.197 eV per atom
Energy: -41.92 eV per formula unit
Symmetry: R-3m, No. 166